Entry 1:
# ErMgZr2Rh4

A relaxed structure of ErMgZr2Rh4 (PBE-GGA, the Alexandria database). Values from VASP.

Summary:
Volume ... 141.64 Å³ per cell
Formation energy ... -803 meV per atom
Total magnetic moment ... 0.0 μB/f.u.
DFT total energy ... -7.39 eV/atom

The structure in Quantum ESPRESSO input format:
```
&SYSTEM
  ibrav = 0, nat = 8, ntyp = 4
/
ATOMIC_SPECIES
Mg 24.30 Mg.upf
Rh 102.91 Rh.upf
Er 167.26 Er.upf
Zr 91.22 Zr.upf
CELL_PARAMETERS angstrom
-2.8327 -0.7372 -3.5935
-4.1437 -1.9617 0.6800
-5.4159 5.9831 0.0529
ATOMIC_POSITIONS angstrom
Mg -6.1961 1.6421 -1.4303
Rh -8.1303 -0.1290 -2.5311
Rh -7.3458 4.2026 -1.0494
Rh -4.2619 3.4131 -0.3295
Rh -5.0464 -0.9185 -1.8113
Er 0.0000 0.0000 0.0000
Zr -3.1476 0.9314 -0.6987
Zr -9.2446 2.3528 -2.1619
```

---

Entry 2:
# BaYS2

A relaxed structure of BaYS2 (PBE-GGA, the Alexandria database). Values from VASP.

Summary:
Volume ... 132.37 Å³ per cell
Formation energy from raw total energies ... -643 kJ/mol of formula units
E above lowest polymorph ... 33.63 kJ/mol of atoms
Total magnetic moment ... 0.6 μB/f.u.
DFT total energy ... -5.83 eV/atom

The structure in Quantum ESPRESSO input format:
```
&SYSTEM
  ibrav = 0, nat = 4, ntyp = 3
/
ATOMIC_SPECIES
Ba 137.33 Ba.upf
Y 88.91 Y.upf
S 32.06 S.upf
CELL_PARAMETERS angstrom
2.3975 0.0000 8.8636
-1.1987 2.0763 8.8636
-1.1987 -2.0763 8.8636
ATOMIC_POSITIONS angstrom
Ba 0.0000 0.0000 0.0000
Y 0.0000 0.0000 13.2955
S 0.0000 0.0000 23.5738
S 0.0000 0.0000 3.0171
```

---

Entry 3:
# LiTa2Se

A relaxed structure of LiTa2Se (PBE-GGA, the Alexandria database). Values from VASP.

Summary:
Volume ... 66.51 Å³ per cell
Formation energy from raw total energies ... 50 kJ/mol of formula units
Total magnetic moment ... 0.0 μB/f.u.
DFT total energy ... -7.15 eV/atom

The structure in Quantum ESPRESSO input format:
```
&SYSTEM
  ibrav = 0, nat = 4, ntyp = 3
/
ATOMIC_SPECIES
Se 78.96 Se.upf
Ta 180.95 Ta.upf
Li 6.94 Li.upf
CELL_PARAMETERS angstrom
5.2994 0.0001 -0.0010
2.2870 4.7805 0.0010
-3.2365 -3.2738 2.6251
ATOMIC_POSITIONS angstrom
Se 1.4871 1.9896 1.3130
Ta 0.1828 0.1152 0.0000
Ta 2.8904 -0.4654 1.3120
Li 3.5829 2.2577 0.0000
```

---

Entry 4:
# TeHRuO2

A relaxed structure of TeHRuO2 (PBE-GGA, the Alexandria database). Values from VASP.

Summary:
Volume ... 54.70 Å³ per cell
Total magnetic moment ... 0.0 μB/f.u.
DFT total energy ... -4.59 eV/atom

The structure in Quantum ESPRESSO input format:
```
&SYSTEM
  ibrav = 0, nat = 5, ntyp = 4
/
ATOMIC_SPECIES
O 16.00 O.upf
Te 127.60 Te.upf
Ru 101.07 Ru.upf
H 1.01 H.upf
CELL_PARAMETERS angstrom
4.0411 0.0000 0.0000
0.0000 3.3497 0.0000
0.0000 0.0000 4.0411
ATOMIC_POSITIONS angstrom
O 2.0205 0.0000 0.0000
O 0.0000 0.0000 2.0205
Te 2.0205 1.6748 2.0205
Ru 0.0000 1.6748 0.0000
H 0.0000 0.0000 0.0000
```

---

Entry 5:
# Cs2RbIF

A relaxed structure of Cs2RbIF (PBE-GGA, the Alexandria database). Values from VASP.

Summary:
Volume ... 236.92 Å³ per cell
Formation energy from raw total energies ... -729 kJ/mol of formula units
E above lowest polymorph ... 0.00 kJ/mol of atoms
Total magnetic moment ... 0.0 μB/f.u.
DFT total energy ... -2.73 eV/atom

The structure in Quantum ESPRESSO input format:
```
&SYSTEM
  ibrav = 0, nat = 5, ntyp = 4
/
ATOMIC_SPECIES
I 126.90 I.upf
Rb 85.47 Rb.upf
Cs 132.91 Cs.upf
F 19.00 F.upf
CELL_PARAMETERS angstrom
6.5053 0.0000 0.0000
0.0000 6.5053 0.0000
0.0000 0.0000 5.5985
ATOMIC_POSITIONS angstrom
I 3.2527 3.2527 2.7993
Rb 0.0000 0.0000 2.7993
Cs 3.2527 0.0000 0.0000
Cs 0.0000 3.2527 0.0000
F 0.0000 0.0000 0.0000
```

---

Entry 6:
# RhF6

A relaxed structure of RhF6 (PBE-GGA, the Alexandria database). Values from VASP.

Summary:
Volume ... 133.54 Å³ per cell
Formation energy from raw total energies ... -840 kJ/mol of formula units
Total magnetic moment ... 3.0 μB/f.u.
DFT total energy ... -3.90 eV/atom

The structure in Quantum ESPRESSO input format:
```
&SYSTEM
  ibrav = 0, nat = 7, ntyp = 2
/
ATOMIC_SPECIES
F 19.00 F.upf
Rh 102.91 Rh.upf
CELL_PARAMETERS angstrom
-2.5974 1.1546 -4.7985
5.1877 -1.7471 -1.0678
-2.7883 -3.9999 2.7077
ATOMIC_POSITIONS angstrom
F -1.5642 -0.8264 -0.6072
F -3.8215 -2.0189 -1.4836
F 0.7523 -0.1721 -1.7038
F 1.7025 -4.0778 1.1636
F 0.6969 -1.6691 0.4763
F 1.8380 -0.4204 -4.1625
Rh 0.0000 0.0000 0.0000
```

---

Q: Which of these has the lowest DFT total energy?
A: ErMgZr2Rh4